[1]
## Zr5Br (PBE)

Data for crystalline Zr5Br at its relaxed geometry.

Cell lengths 5.9049, 5.9049, 5.9049 Å; angles 60.00, 60.00, 60.00 degrees
Closest atoms and distances in Å follow each position.
Positions (direct):
1 Zr 0.0000 0.0000 0.0000  12 Zr 3.45, 4 Br 3.62
2 Zr 0.1131 0.6290 0.6290  6 Zr 2.86-3.05
3 Zr 0.6290 0.1131 0.6290  6 Zr 2.86-3.05
4 Zr 0.6290 0.6290 0.1131  6 Zr 2.86-3.05
5 Zr 0.6290 0.6290 0.6290  6 Zr 2.86-3.05
6 Br 0.2500 0.2500 0.2500  16 Zr 3.47-3.62

Its formation energy from raw total energies is 0.432 eV per atom. The polymorph energy (0 for the lowest one) comes out at 303 meV per atom. For the density of states at the Fermi level, the calculation gives 9.263 states/eV per cell. The density is 6.114 g cm⁻³. The symmetry is F-43m, No. 216.



[2]
## NdMgOs4 (PBE)

Data for crystalline NdMgOs4 at its relaxed geometry.

Cell lengths 5.3340, 5.3340, 5.3340 Å; angles 60.00, 60.00, 60.00 degrees
Closest atoms and distances in Å follow each position.
Positions (direct):
1 Nd 0.0000 0.0000 0.0000  12 Os 3.13, 4 Mg 3.27
2 Mg 0.7500 0.7500 0.7500  12 Os 3.13, 4 Nd 3.27
3 Os 0.3756 0.3756 0.3756  6 Os 2.65-2.68
4 Os 0.3756 0.3756 0.8732  6 Os 2.65-2.68
5 Os 0.3756 0.8732 0.3756  6 Os 2.65-2.68
6 Os 0.8732 0.3756 0.3756  6 Os 2.65-2.68

Its formation energy is 0.08 eV per atom. For the density of states at the Fermi level, the calculation gives 7.143 states/eV per cell. The density is 14.382 g cm⁻³. The symmetry is F-43m, No. 216.



[3]
## Ca4Pa3AlAs8 (PBE)

Data for crystalline Ca4Pa3AlAs8 at its relaxed geometry.

Cell lengths 8.3035, 8.3035, 8.3035 Å; angles 59.98, 59.98, 59.98 degrees
Closest atoms and distances in Å follow each position.
Positions (direct):
1 Ca 0.0000 0.0000 0.0000  6 As 3.08
2 Ca 0.0000 0.5000 0.5000  6 As 2.99-3.02
3 Ca 0.5000 0.0000 0.5000  6 As 2.99-3.02
4 Ca 0.5000 0.5000 0.0000  6 As 2.99-3.02
5 Pa 0.0000 0.0000 0.5000  6 As 2.86-2.88
6 Pa 0.0000 0.5000 0.0000  6 As 2.86-2.88
7 Pa 0.5000 0.0000 0.0000  6 As 2.86-2.88
8 Al 0.5000 0.5000 0.5000  6 As 2.80
9 As 0.2452 0.2452 0.2452  3 Pa 2.88, 3 Ca 2.99
10 As 0.2483 0.7381 0.7381  1 Al 2.80, 2 Pa 2.86, 3 Ca 3.02-3.08
11 As 0.2619 0.2619 0.7517  1 Al 2.80, 2 Pa 2.86, 3 Ca 3.02-3.08
12 As 0.2619 0.7517 0.2619  1 Al 2.80, 2 Pa 2.86, 3 Ca 3.02-3.08
13 As 0.7381 0.2483 0.7381  1 Al 2.80, 2 Pa 2.86, 3 Ca 3.02-3.08
14 As 0.7381 0.7381 0.2483  1 Al 2.80, 2 Pa 2.86, 3 Ca 3.02-3.08
15 As 0.7517 0.2619 0.2619  1 Al 2.80, 2 Pa 2.86, 3 Ca 3.02-3.08
16 As 0.7548 0.7548 0.7548  3 Pa 2.88, 3 Ca 2.99

Its formation energy is -1.00 eV per atom. For the density of states at the Fermi level, the calculation gives 12.193 states/eV per cell. The density is 6.072 g cm⁻³. The symmetry is R-3m, No. 166.



[4]
## InPb2Br6 (PBE)

Data for crystalline InPb2Br6 at its relaxed geometry.

Cell lengths 7.1053, 7.1053, 13.4634 Å; angles 90.00, 90.00, 90.00 degrees
Closest atoms and distances in Å follow each position.
Positions (direct):
1 In 0.0000 0.0000 0.0000  6 Br 2.92-2.94
2 In 0.5000 0.5000 0.5000  6 Br 2.92-2.94
3 Pb 0.0000 0.0000 0.3342  6 Br 3.04-3.08
4 Pb 0.0000 0.0000 0.6658  6 Br 3.04-3.08
5 Pb 0.5000 0.5000 0.1658  6 Br 3.04-3.08
6 Pb 0.5000 0.5000 0.8342  6 Br 3.04-3.08
7 Br 0.1974 0.1974 0.1589  1 In 2.92, 2 Pb 3.04-3.08
8 Br 0.1974 0.1974 0.8411  1 In 2.92, 2 Pb 3.04-3.08
9 Br 0.2078 0.2078 0.5000  1 In 2.94, 2 Pb 3.06
10 Br 0.2922 0.7078 0.0000  1 In 2.94, 2 Pb 3.06
11 Br 0.3026 0.6974 0.3411  1 In 2.92, 2 Pb 3.04-3.08
12 Br 0.3026 0.6974 0.6589  1 In 2.92, 2 Pb 3.04-3.08
13 Br 0.6974 0.3026 0.3411  1 In 2.92, 2 Pb 3.04-3.08
14 Br 0.6974 0.3026 0.6589  1 In 2.92, 2 Pb 3.04-3.08
15 Br 0.7078 0.2922 0.0000  1 In 2.94, 2 Pb 3.06
16 Br 0.7922 0.7922 0.5000  1 In 2.94, 2 Pb 3.06
17 Br 0.8026 0.8026 0.1589  1 In 2.92, 2 Pb 3.04-3.08
18 Br 0.8026 0.8026 0.8411  1 In 2.92, 2 Pb 3.04-3.08

Its formation energy from raw total energies is -0.804 eV per atom. For the density of states at the Fermi level, the calculation gives 6.770 states/eV per cell. The density is 4.928 g cm⁻³. The symmetry is P4_2/mnm, No. 136.



[5]
## CeGePt (PBE)

Data for crystalline CeGePt at its relaxed geometry.

Cell lengths 5.6670, 5.6670, 7.2470 Å; angles 128.17, 128.17, 45.85 degrees
Closest atoms and distances in Å follow each position.
Positions (direct):
1 Ce 0.0451 0.0451 0.3113  5 Pt 2.98-3.15, 4 Ge 3.08-3.24
2 Ce 0.9549 0.9549 0.6887  5 Pt 2.98-3.15, 4 Ge 3.08-3.24
3 Ge 0.3425 0.3425 0.9131  2 Pt 2.56, 1 Ge 2.61
4 Ge 0.6575 0.6575 0.0869  2 Pt 2.56, 1 Ge 2.61
5 Pt 0.3207 0.3207 0.2905  2 Ge 2.56, 1 Pt 2.83
6 Pt 0.6793 0.6793 0.7095  2 Ge 2.56, 1 Pt 2.83

Its formation energy is -1.02 eV per atom. For the density of states at the Fermi level, the calculation gives 5.481 states/eV per cell. The density is 10.940 g cm⁻³. The symmetry is C2/m, No. 12.



[6]
## ZrFePb2 (PBE)

Data for crystalline ZrFePb2 at its relaxed geometry.

Cell lengths 4.9165, 4.9165, 4.9165 Å; angles 60.00, 60.00, 60.00 degrees
Closest atoms and distances in Å follow each position.
Positions (direct):
1 Zr 0.0000 0.0000 0.0000  8 Pb 3.01
2 Fe 0.5000 0.5000 0.5000  8 Pb 3.01
3 Pb 0.2500 0.2500 0.2500  4 Fe 3.01, 4 Zr 3.01
4 Pb 0.7500 0.7500 0.7500  4 Fe 3.01, 4 Zr 3.01

Its formation energy is 0.54 eV per atom. The polymorph energy (0 for the lowest one) comes out at 425 meV per atom. For the density of states at the Fermi level, the calculation gives 6.424 states/eV per cell. The density is 11.095 g cm⁻³. The symmetry is Fm-3m, No. 225.



[7]
## Pr8Dy2In (PBE)

Data for crystalline Pr8Dy2In at its relaxed geometry.

Cell lengths 9.6129, 9.6129, 8.1805 Å; angles 105.09, 105.09, 30.73 degrees
Closest atoms and distances in Å follow each position.
Positions (direct):
1 Pr 0.0444 0.0444 0.2300  9 Pr 3.58-3.72, 2 In 3.61, 1 Dy 3.64
2 Pr 0.1372 0.1372 0.6796  7 Pr 3.59-3.69, 2 In 3.62, 3 Dy 3.62-3.64
3 Pr 0.3220 0.3220 0.5916  1 In 3.58, 8 Pr 3.58-3.71, 3 Dy 3.66-3.70
4 Pr 0.4092 0.4092 0.0569  1 In 3.56, 8 Pr 3.59-3.73, 3 Dy 3.60-3.64
5 Pr 0.5908 0.5908 0.9431  1 In 3.56, 8 Pr 3.59-3.73, 3 Dy 3.60-3.64
6 Pr 0.6780 0.6780 0.4084  1 In 3.58, 8 Pr 3.58-3.71, 3 Dy 3.66-3.70
7 Pr 0.8628 0.8628 0.3204  7 Pr 3.59-3.69, 2 In 3.62, 3 Dy 3.62-3.64
8 Pr 0.9556 0.9556 0.7700  9 Pr 3.58-3.72, 2 In 3.61, 1 Dy 3.64
9 Dy 0.2248 0.2248 0.1327  10 Pr 3.60-3.70, 2 Dy 3.63
10 Dy 0.7752 0.7752 0.8673  10 Pr 3.60-3.70, 2 Dy 3.63
11 In 0.5000 0.5000 0.5000  12 Pr 3.56-3.62

Its formation energy is -0.07 eV per atom. For the density of states at the Fermi level, the calculation gives 14.932 states/eV per cell. The density is 6.996 g cm⁻³. The symmetry is C2/m, No. 12.



[8]
## CePaMn (PBE)

Data for crystalline CePaMn at its relaxed geometry.

Cell lengths 5.8088, 5.8088, 5.8088 Å; angles 145.92, 145.92, 48.97 degrees
Closest atoms and distances in Å follow each position.
Positions (direct):
1 Ce 0.0000 0.0000 0.0000  5 Mn 3.13-3.29, 5 Pa 3.14-3.28, 4 Ce 3.40
2 Pa 0.3100 0.3100 0.0000  4 Mn 2.73
3 Mn 0.6888 0.6888 0.0000  4 Pa 2.73

Its formation energy is 0.05 eV per atom. The polymorph energy (0 for the lowest one) comes out at 1 meV per atom. For the density of states at the Fermi level, the calculation gives 3.833 states/eV per cell. The density is 11.546 g cm⁻³. The symmetry is I4mm, No. 107.



[9]
## LiLaSe2 (PBE)

Data for crystalline LiLaSe2 at its relaxed geometry.

Cell lengths 7.7597, 7.7597, 7.4317 Å; angles 110.40, 110.40, 30.23 degrees
Closest atoms and distances in Å follow each position.
Positions (direct):
1 Li 0.1079 0.1079 0.0967  4 Se 2.56-2.59
2 Li 0.8921 0.8921 0.9033  4 Se 2.56-2.59
3 La 0.3685 0.3685 0.4286  7 Se 2.98-3.23
4 La 0.6315 0.6315 0.5714  7 Se 2.98-3.23
5 Se 0.0146 0.0146 0.7324  2 Li 2.56-2.58
6 Se 0.2841 0.2841 0.7457  2 Li 2.59
7 Se 0.7159 0.7159 0.2543  2 Li 2.59
8 Se 0.9854 0.9854 0.2676  2 Li 2.56-2.58

Its formation energy from raw total energies is -1.690 eV per atom. The density is 4.802 g cm⁻³. The symmetry is C2/m, No. 12.



[10]
## RbGe2Pb (PBE)

Data for crystalline RbGe2Pb at its relaxed geometry.

Cell lengths 10.9200, 10.9200, 10.9200 Å; angles 151.57, 151.57, 40.65 degrees
Closest atoms and distances in Å follow each position.
Positions (direct):
1 Rb 0.3750 0.6250 0.7500  4 Pb 3.79, 8 Ge 3.94
2 Rb 0.6250 0.3750 0.2500  4 Pb 3.79, 8 Ge 3.94
3 Ge 0.0000 0.0000 0.0000  2 Ge 2.68, 2 Pb 2.89
4 Ge 0.0000 0.0000 0.5000  2 Ge 2.68, 2 Pb 2.89
5 Ge 0.0000 0.5000 0.0000  2 Ge 2.68, 2 Pb 2.89
6 Ge 0.5000 0.0000 0.5000  2 Ge 2.68, 2 Pb 2.89
7 Pb 0.1250 0.8750 0.2500  4 Ge 2.89
8 Pb 0.8750 0.1250 0.7500  4 Ge 2.89

Its formation energy is 0.19 eV per atom. For the density of states at the Fermi level, the calculation gives 3.991 states/eV per cell. The density is 4.937 g cm⁻³. The symmetry is I4_1/amd, No. 141.



[11]
## AlZn4 (PBE)

Data for crystalline AlZn4 at its relaxed geometry.

Cell lengths 6.7084, 6.7084, 6.7084 Å; angles 148.08, 148.08, 45.77 degrees
Closest atoms and distances in Å follow each position.
Positions (direct):
1 Al 0.0000 0.0000 0.0000  8 Zn 2.88
2 Zn 0.2500 0.7500 0.5000  8 Zn 2.61-2.63
3 Zn 0.4014 0.4014 0.0000  5 Zn 2.44-2.63
4 Zn 0.5986 0.5986 0.0000  5 Zn 2.44-2.63
5 Zn 0.7500 0.2500 0.5000  8 Zn 2.61-2.63

Its formation energy is 0.14 eV per atom. The polymorph energy (0 for the lowest one) comes out at 132 meV per atom. For the density of states at the Fermi level, the calculation gives 2.123 states/eV per cell. The density is 5.696 g cm⁻³. The symmetry is I4/mmm, No. 139.